Si3Mo3W2 | PBE-GGA | relaxed

Uncorrected formation energy: -0.320 eV per atom
V: 231.6 Å³/cell
Symmetry: Ibam (72)
Electronic total energy: -154.46 eV per cell
Crystal system: orthorhombic
Mass density: 10.61 g/cm3

Unit cell a=7.281 b=7.281 c=7.281 alpha=96.71 beta=96.49 gamma=140.36
Fractional positions:
Si (0.168, 0.666, 0.834)
Si (0.250, 0.250, 0.000)
Si (0.332, 0.166, 0.497)
Si (0.668, 0.834, 0.503)
Si (0.750, 0.750, 0.000)
Si (0.832, 0.334, 0.166)
Mo (0.224, 0.922, 0.146)
Mo (0.250, 0.750, 0.500)
Mo (0.276, 0.422, 0.699)
Mo (0.724, 0.578, 0.301)
Mo (0.750, 0.250, 0.500)
Mo (0.776, 0.078, 0.854)
W (0.075, 0.224, 0.299)
W (0.425, 0.724, 0.149)
W (0.575, 0.276, 0.851)
W (0.925, 0.776, 0.701)



SiMo2W | PBE-GGA | relaxed

Uncorrected formation energy: -0.032 eV per atom
V: 61.0 Å³/cell
Symmetry: Cmmm (65)
Electronic total energy: -40.17 eV per cell
Energy above the lowest structure with this stoichiometry: 65 meV/atom
Crystal system: orthorhombic
Mass density: 10.99 g/cm3

Unit cell a=2.774 b=2.774 c=8.372 alpha=90.00 beta=90.00 gamma=108.73
Fractional positions:
Si (0.000, 0.000, 0.000)
Mo (0.500, 0.500, 0.236)
Mo (0.500, 0.500, 0.764)
W (0.000, 0.000, 0.500)



Si2MoW | PBE-GGA | relaxed

Uncorrected formation energy: 0.061 eV per atom
V: 58.3 Å³/cell
Symmetry: Cmmm (65)
Electronic total energy: -34.39 eV per cell
Energy above the lowest structure with this stoichiometry: 395 meV/atom
Crystal system: orthorhombic
Mass density: 9.56 g/cm3

Unit cell a=2.816 b=2.816 c=7.827 alpha=90.00 beta=90.00 gamma=109.95
Fractional positions:
Si (0.000, 0.000, 0.249)
Si (0.000, 0.000, 0.751)
Mo (0.500, 0.500, 0.000)
W (0.500, 0.500, 0.500)



SiMoW3 | PBE-GGA | relaxed

Uncorrected formation energy: 1.320 eV per atom
V: 88.4 Å³/cell
Symmetry: Pm-3m (221)
Electronic total energy: -48.51 eV per cell
Energy above the lowest structure with this stoichiometry: 0 meV/atom
Crystal system: cubic
Mass density: 12.70 g/cm3

Unit cell a=4.454 b=4.454 c=4.454 alpha=90.00 beta=90.00 gamma=90.00
Fractional positions:
Si (0.000, 0.000, 0.000)
Mo (0.500, 0.500, 0.500)
W (0.000, 0.000, 0.500)
W (0.000, 0.500, 0.000)
W (0.500, 0.000, 0.000)



Si2MoW | PBE-GGA | relaxed

Uncorrected formation energy: 0.069 eV per atom
V: 58.3 Å³/cell
Symmetry: Immm (71)
Electronic total energy: -34.35 eV per cell
Energy above the lowest structure with this stoichiometry: 403 meV/atom
Crystal system: orthorhombic
Mass density: 9.57 g/cm3

Unit cell a=4.821 b=4.821 c=4.821 alpha=140.68 beta=123.21 gamma=71.25
Fractional positions:
Si (0.249, 0.249, 0.000)
Si (0.751, 0.751, 0.000)
Mo (0.000, 0.500, 0.500)
W (0.500, 0.000, 0.500)



SiMoW2 | PBE-GGA | relaxed

Uncorrected formation energy: 0.011 eV per atom
V: 60.9 Å³/cell
Symmetry: P4mm (99)
Electronic total energy: -42.12 eV per cell
Energy above the lowest structure with this stoichiometry: 27 meV/atom
Crystal system: tetragonal
Mass density: 13.40 g/cm3

Unit cell a=3.257 b=3.257 c=5.743 alpha=90.00 beta=90.00 gamma=90.00
Fractional positions:
Si (0.000, 0.000, 0.000)
Mo (0.500, 0.500, 0.771)
W (0.000, 0.000, 0.498)
W (0.500, 0.500, 0.241)



SiMoW2 | PBE-GGA | relaxed

Uncorrected formation energy: 0.808 eV per atom
V: 131.8 Å³/cell
Symmetry: I-42d (122)
Electronic total energy: -77.86 eV per cell
Energy above the lowest structure with this stoichiometry: 823 meV/atom
Crystal system: tetragonal
Mass density: 12.39 g/cm3

Unit cell a=5.615 b=5.615 c=5.615 alpha=103.88 beta=103.88 gamma=121.34
Fractional positions:
Si (0.000, 0.000, 0.000)
Si (0.750, 0.250, 0.500)
Mo (0.250, 0.750, 0.500)
Mo (0.500, 0.500, 0.000)
W (0.101, 0.125, 0.476)
W (0.375, 0.899, 0.024)
W (0.649, 0.625, 0.524)
W (0.875, 0.351, 0.976)



Si6MoW2 | PBE-GGA | relaxed

Uncorrected formation energy: -0.349 eV per atom
V: 122.3 Å³/cell
Symmetry: C222 (21)
Electronic total energy: -72.42 eV per cell
Crystal system: orthorhombic
Mass density: 8.58 g/cm3

Unit cell a=4.614 b=4.614 c=6.637 alpha=90.00 beta=90.00 gamma=120.05
Fractional positions:
Si (0.163, 0.837, 0.000)
Si (0.165, 0.328, 0.667)
Si (0.328, 0.165, 0.333)
Si (0.672, 0.835, 0.333)
Si (0.835, 0.672, 0.667)
Si (0.837, 0.163, 0.000)
Mo (0.500, 0.500, 0.000)
W (0.000, 0.500, 0.333)
W (0.500, 0.000, 0.667)



Si2MoW | PBE-GGA | relaxed

Uncorrected formation energy: 0.096 eV per atom
V: 60.6 Å³/cell
Symmetry: R3m (160)
Electronic total energy: -34.25 eV per cell
Energy above the lowest structure with this stoichiometry: 430 meV/atom
Crystal system: trigonal
Mass density: 9.20 g/cm3

Unit cell a=8.275 b=8.275 c=8.275 alpha=20.46 beta=20.46 gamma=20.46
Fractional positions:
Si (0.000, 0.000, 0.000)
Si (0.248, 0.248, 0.248)
Mo (0.502, 0.502, 0.502)
W (0.748, 0.748, 0.748)



Si4MoW | PBE-GGA | relaxed

Uncorrected formation energy: 0.431 eV per atom
V: 79.6 Å³/cell
Symmetry: F-43m (216)
Electronic total energy: -42.89 eV per cell
Energy above the lowest structure with this stoichiometry: 859 meV/atom
Crystal system: cubic
Mass density: 8.19 g/cm3

Unit cell a=4.827 b=4.827 c=4.827 alpha=60.00 beta=60.00 gamma=60.00
Fractional positions:
Si (0.125, 0.125, 0.125)
Si (0.125, 0.125, 0.625)
Si (0.125, 0.625, 0.125)
Si (0.625, 0.125, 0.125)
Mo (0.500, 0.500, 0.500)
W (0.750, 0.750, 0.750)



SiMo2W | PBE-GGA | relaxed

Uncorrected formation energy: 0.073 eV per atom
V: 61.2 Å³/cell
Symmetry: Pmm2 (25)
Electronic total energy: -39.75 eV per cell
Energy above the lowest structure with this stoichiometry: 171 meV/atom
Crystal system: orthorhombic
Mass density: 10.95 g/cm3

Unit cell a=2.865 b=4.119 c=5.187 alpha=90.00 beta=90.00 gamma=90.00
Fractional positions:
Si (0.000, 0.000, 0.000)
Mo (0.000, 0.000, 0.501)
Mo (0.500, 0.500, 0.761)
W (0.500, 0.500, 0.247)



SiMoW2 | PBE-GGA | relaxed

Uncorrected formation energy: 0.254 eV per atom
V: 60.8 Å³/cell
Symmetry: P4/mmm (123)
Electronic total energy: -41.14 eV per cell
Energy above the lowest structure with this stoichiometry: 269 meV/atom
Crystal system: tetragonal
Mass density: 13.42 g/cm3

Unit cell a=2.831 b=2.831 c=7.589 alpha=90.00 beta=90.00 gamma=90.00
Fractional positions:
Si (0.000, 0.000, 0.000)
Mo (0.000, 0.000, 0.500)
W (0.500, 0.500, 0.228)
W (0.500, 0.500, 0.772)



SiMoW2 | PBE-GGA | relaxed

Uncorrected formation energy: 0.085 eV per atom
V: 60.8 Å³/cell
Symmetry: Pmmm (47)
Electronic total energy: -41.82 eV per cell
Energy above the lowest structure with this stoichiometry: 101 meV/atom
Crystal system: orthorhombic
Mass density: 13.44 g/cm3

Unit cell a=3.187 b=4.358 c=4.374 alpha=90.00 beta=90.00 gamma=90.00
Fractional positions:
Si (0.000, 0.000, 0.000)
Mo (0.500, 0.500, 0.000)
W (0.000, 0.500, 0.500)
W (0.500, 0.000, 0.500)



Si2MoW | PBE-GGA | relaxed

Uncorrected formation energy: -0.334 eV per atom
V: 56.8 Å³/cell
Symmetry: P4mm (99)
Electronic total energy: -35.97 eV per cell
Energy above the lowest structure with this stoichiometry: 0 meV/atom
Crystal system: tetragonal
Mass density: 9.82 g/cm3

Unit cell a=3.189 b=3.189 c=5.582 alpha=90.00 beta=90.00 gamma=90.00
Fractional positions:
Si (0.000, 0.000, 0.000)
Si (0.500, 0.500, 0.250)
Mo (0.500, 0.500, 0.776)
W (0.000, 0.000, 0.477)



SiMoW2 | PBE-GGA | relaxed

Uncorrected formation energy: 0.148 eV per atom
V: 61.0 Å³/cell
Symmetry: Cmmm (65)
Electronic total energy: -41.57 eV per cell
Energy above the lowest structure with this stoichiometry: 163 meV/atom
Crystal system: orthorhombic
Mass density: 13.38 g/cm3

Unit cell a=4.389 b=4.389 c=3.208 alpha=90.00 beta=90.00 gamma=98.98
Fractional positions:
Si (0.000, 0.000, 0.000)
Mo (0.500, 0.500, 0.000)
W (0.000, 0.500, 0.500)
W (0.500, 0.000, 0.500)



SiMoW2 | PBE-GGA | relaxed

Uncorrected formation energy: 0.141 eV per atom
V: 61.2 Å³/cell
Symmetry: I-4m2 (119)
Electronic total energy: -41.60 eV per cell
Energy above the lowest structure with this stoichiometry: 157 meV/atom
Crystal system: tetragonal
Mass density: 13.33 g/cm3

Unit cell a=4.909 b=4.909 c=4.909 alpha=133.47 beta=133.47 gamma=67.91
Fractional positions:
Si (0.000, 0.000, 0.000)
Mo (0.750, 0.250, 0.500)
W (0.250, 0.750, 0.500)
W (0.500, 0.500, 0.000)



SiMo2W | PBE-GGA | relaxed

Uncorrected formation energy: -0.039 eV per atom
V: 60.2 Å³/cell
Symmetry: Fm-3m (225)
Electronic total energy: -40.19 eV per cell
Energy above the lowest structure with this stoichiometry: 59 meV/atom
Crystal system: cubic
Mass density: 11.13 g/cm3

Unit cell a=4.400 b=4.400 c=4.400 alpha=60.00 beta=60.00 gamma=60.00
Fractional positions:
Si (0.000, 0.000, 0.000)
Mo (0.250, 0.250, 0.250)
Mo (0.750, 0.750, 0.750)
W (0.500, 0.500, 0.500)



SiMo2W | PBE-GGA | relaxed

Uncorrected formation energy: 0.703 eV per atom
V: 130.9 Å³/cell
Symmetry: I-42d (122)
Electronic total energy: -74.45 eV per cell
Energy above the lowest structure with this stoichiometry: 801 meV/atom
Crystal system: tetragonal
Mass density: 10.25 g/cm3

Unit cell a=5.585 b=5.585 c=5.585 alpha=104.61 beta=104.61 gamma=119.70
Fractional positions:
Si (0.000, 0.000, 0.000)
Si (0.750, 0.250, 0.500)
Mo (0.101, 0.625, 0.976)
Mo (0.375, 0.351, 0.476)
Mo (0.649, 0.125, 0.024)
Mo (0.875, 0.899, 0.524)
W (0.250, 0.750, 0.500)
W (0.500, 0.500, 0.000)



SiMoW2 | PBE-GGA | relaxed

Uncorrected formation energy: 0.257 eV per atom
V: 62.0 Å³/cell
Symmetry: R3m (160)
Electronic total energy: -41.13 eV per cell
Energy above the lowest structure with this stoichiometry: 273 meV/atom
Crystal system: trigonal
Mass density: 13.17 g/cm3

Unit cell a=9.026 b=9.026 c=9.026 alpha=18.11 beta=18.11 gamma=18.11
Fractional positions:
Si (0.000, 0.000, 0.000)
Mo (0.745, 0.745, 0.745)
W (0.254, 0.254, 0.254)
W (0.499, 0.499, 0.499)



SiMo2W | PBE-GGA | relaxed

Uncorrected formation energy: 0.230 eV per atom
V: 61.6 Å³/cell
Symmetry: R3m (160)
Electronic total energy: -39.12 eV per cell
Energy above the lowest structure with this stoichiometry: 327 meV/atom
Crystal system: trigonal
Mass density: 10.88 g/cm3

Unit cell a=8.979 b=8.979 c=8.979 alpha=18.19 beta=18.19 gamma=18.19
Fractional positions:
Si (0.000, 0.000, 0.000)
Mo (0.499, 0.499, 0.499)
Mo (0.745, 0.745, 0.745)
W (0.254, 0.254, 0.254)